Record 1
A plane-wave DFT calculation with GGA-PBE was carried out for crystalline V2FeMo2 at its relaxed geometry.

Cell: 4.2832 5.2522 6.7520 Å, 104.61 108.49 90.00°
Site moments in Bohr magnetons follow the coordinates.
Positions (direct):
V (0.4058, 0.8572, 0.8116)  -0.09
V (0.4058, 0.3572, 0.8116)  -0.09
V (0.5942, 0.1428, 0.1884)  -0.09
V (0.5942, 0.6428, 0.1884)  -0.09
Fe (0.0000, 0.2500, 0.0000)  1.40
Fe (0.0000, 0.7500, 0.0000)  1.40
Mo (0.1975, 0.5454, 0.3950)  -0.04
Mo (0.8025, 0.9546, 0.6050)  -0.04
Mo (0.8025, 0.4546, 0.6050)  -0.04
Mo (0.1975, 0.0454, 0.3950)  -0.04

Properties
The space group is C2/m, No. 12. The calculation puts the calculated density at 8.36 g/cm³. Its uncorrected energy is -97.00 eV/cell. The value obtained for the formation energy is -0.028 eV per atom.



Record 2
A plane-wave DFT calculation with GGA-PBE was carried out for crystalline PmTc4P2 at its relaxed geometry.

Cell: 4.0285 4.0649 7.1637 Å, 106.48 90.00 90.00°
Positions (direct):
Pm (0.0000, 0.0000, 0.0000)
Tc (0.5000, 0.8157, 0.6315)
Tc (0.0000, 0.6919, 0.3838)
Tc (0.5000, 0.1843, 0.3685)
Tc (0.0000, 0.3081, 0.6162)
P (0.5000, 0.5883, 0.1765)
P (0.5000, 0.4117, 0.8235)

Properties
The space group is Cmmm, No. 65. The calculation puts the calculated density at 8.84 g/cm³. Its uncorrected energy is -61.97 eV/cell. The value obtained for the formation energy is -0.705 eV per atom.



Record 3
A plane-wave DFT calculation with GGA-PBE was carried out for crystalline Ba8Ag2PdRh at its relaxed geometry.

Cell: 7.8853 7.6781 9.4552 Å, 90.00 90.00 90.36°
Positions (direct):
Ba (0.1621, 0.7783, 0.2428)
Ba (0.6883, 0.7556, 0.0000)
Ba (0.8379, 0.2217, 0.2428)
Ba (0.8379, 0.2217, 0.7572)
Ba (0.3117, 0.2444, 0.0000)
Ba (0.1621, 0.7783, 0.7572)
Ba (0.6798, 0.7451, 0.5000)
Ba (0.3202, 0.2549, 0.5000)
Ag (0.5000, 0.5000, 0.7542)
Ag (0.5000, 0.5000, 0.2458)
Pd (0.0000, 0.0000, 0.5000)
Rh (0.0000, 0.0000, 0.0000)

Properties
The space group is P2/m, No. 10. The calculation puts the calculated density at 4.42 g/cm³. Its uncorrected energy is -36.55 eV/cell. The value obtained for the formation energy is -0.243 eV per atom.